Computed, not measured: an optimized crystal structure of SbAs2P at the PBE-GGA level of DFT.

Unit cell a=5.414 b=5.414 c=14.516 alpha=90.00 beta=90.00 gamma=90.00
Space group I-42d (No. 122)
One atom of each set of equivalent atoms:
Sb: 0.000 0.000 0.000
As: 0.196 0.250 0.625
P: 0.000 0.000 0.500

Output
electronic total energy = -4.3869 eV/atom
D(E_F) = 2.03 states/eV/f.u.
uncorrected formation energy = 31.0 kJ/mol of atoms
energy above the most stable polymorph in this dataset = 276.2 meV/atom

Computed, not measured: an optimized crystal structure of Sb2AsP at the PBE-GGA level of DFT.

Unit cell a=4.0257 b=4.0257 c=22.0311 alpha=90.00 beta=90.00 gamma=120.00
Space group R3m (No. 160, hexagonal axes)
One atom of each set of equivalent atoms:
Sb: 0.0000 0.0000 0.0000
Sb: 0.0000 0.0000 0.2147
As: 0.0000 0.0000 0.7314
P: 0.0000 0.0000 0.4894

Output
electronic total energy = -4.5184 eV/atom
D(E_F) = 0.65 states/eV/f.u.
uncorrected formation energy = 5.6 kJ/mol of atoms
energy above the most stable polymorph in this dataset = 11.2 meV/atom

Computed, not measured: an optimized crystal structure of Sb2AsP at the PBE-GGA level of DFT.

Unit cell a=7.055 b=4.041 c=7.034 alpha=90.00 beta=109.51 gamma=90.00
Space group C2/m (No. 12)
One atom of each set of equivalent atoms:
Sb: 0.247 0.000 0.240
As: 0.000 0.000 0.500
P: 0.000 0.500 0.000

Output
electronic total energy = -4.4774 eV/atom
D(E_F) = 1.34 states/eV/f.u.
uncorrected formation energy = 9.5 kJ/mol of atoms
energy above the most stable polymorph in this dataset = 52.2 meV/atom

Computed, not measured: an optimized crystal structure of SbAs2P at the PBE-GGA level of DFT.

Unit cell a=3.445 b=4.733 c=4.912 alpha=90.00 beta=90.00 gamma=90.00
Space group Pmmm (No. 47)
One atom of each set of equivalent atoms:
Sb: 0.000 0.000 0.000
As: 0.000 0.500 0.500
As: 0.500 0.500 0.000
P: 0.500 0.000 0.500

Output
electronic total energy = -4.2060 eV/atom
D(E_F) = 1.90 states/eV/f.u.
uncorrected formation energy = 48.4 kJ/mol of atoms
energy above the most stable polymorph in this dataset = 457.0 meV/atom